1.
VASP calculation (PBE) on an optimized crystal structure of LiBiIr.

Lattice parameters (Å, degrees): 4.425 4.425 21.657 90.00 90.00 120.00
Fractional positions:
Li: 0.000 0.000 0.500
Li: 0.333 0.667 0.167
Li: 0.667 0.333 0.833
Li: 0.000 0.000 0.000
Li: 0.333 0.667 0.667
Li: 0.667 0.333 0.333
Bi: 0.000 0.000 0.754
Bi: 0.000 0.000 0.246
Bi: 0.333 0.667 0.421
Bi: 0.333 0.667 0.913
Bi: 0.667 0.333 0.087
Bi: 0.667 0.333 0.579
Ir: 0.000 0.000 0.627
Ir: 0.000 0.000 0.373
Ir: 0.333 0.667 0.294
Ir: 0.333 0.667 0.040
Ir: 0.667 0.333 0.960
Ir: 0.667 0.333 0.706

Results
energy = -0.1842 hartree per atom
energy of formation from the pure elements = -37 kJ/mol of formula units

---

2.
VASP calculation (PBE) on an optimized crystal structure of Tm6TeP3Se2.

Lattice parameters (Å, degrees): 3.999 8.150 9.081 104.48 102.72 90.00
Fractional positions:
Tm: 0.323 0.928 0.647
Tm: 0.662 0.595 0.323
Tm: 0.677 0.072 0.353
Tm: 0.995 0.275 0.990
Tm: 0.005 0.725 0.010
Tm: 0.338 0.405 0.677
Te: 0.500 0.000 0.000
P: 0.500 0.500 0.000
P: 0.835 0.169 0.669
P: 0.165 0.831 0.331
Se: 0.833 0.667 0.665
Se: 0.167 0.333 0.335

Results
energy = -0.2234 hartree per atom
ΔE_f (raw) = -1909 kJ/mol of formula units

---

3.
VASP calculation (PBE) on an optimized crystal structure of TlBr2Cl.

Lattice parameters (Å, degrees): 8.304 8.304 8.304 37.63 37.63 37.63
Fractional positions:
Tl: 0.500 0.500 0.500
Br: 0.894 0.894 0.894
Br: 0.106 0.106 0.106
Cl: 0.000 0.000 0.000

Results
E above lowest polymorph = 99 meV per atom
energy = -0.0843 hartree per atom
ΔE_f (raw) = -156 kJ/mol of formula units

---

4.
VASP calculation (PBE) on an optimized crystal structure of SmSc2V.

Lattice parameters (Å, degrees): 3.426 3.426 8.260 90.00 90.00 90.00
Fractional positions:
Sc: 0.000 0.000 0.807
Sc: 0.000 0.000 0.193
Sm: 0.500 0.500 0.500
V: 0.500 0.500 0.000

Results
E above lowest polymorph = 0 meV per atom
energy = -0.2372 hartree per atom
energy of formation from the pure elements = 66 kJ/mol of formula units

---

5.
VASP calculation (PBE) on an optimized crystal structure of CrAs2Cl.

Lattice parameters (Å, degrees): 4.753 4.753 7.447 77.46 77.46 37.48
Fractional positions:
Cr: 0.807 0.807 0.841
As: 0.072 0.072 0.915
As: 0.219 0.219 0.141
Cl: 0.401 0.401 0.603

Results
E above lowest polymorph = 55 meV per atom
energy = -0.1973 hartree per atom
ΔE_f (raw) = -68 kJ/mol of formula units

---

6.
VASP calculation (PBE) on an optimized crystal structure of Th2Ga3Hg.

Lattice parameters (Å, degrees): 6.105 6.105 8.706 109.70 109.70 92.20
Fractional positions:
Th: 0.250 0.750 0.500
Th: 0.752 0.752 0.000
Th: 0.750 0.250 0.500
Th: 0.248 0.248 0.000
Ga: 0.325 0.838 0.163
Ga: 0.162 0.675 0.837
Ga: 0.675 0.162 0.837
Ga: 0.838 0.325 0.163
Ga: 0.163 0.163 0.325
Ga: 0.837 0.837 0.675
Hg: 0.666 0.666 0.333
Hg: 0.334 0.334 0.667

Results
energy = -0.1663 hartree per atom
energy of formation from the pure elements = -283 kJ/mol of formula units

---

7.
VASP calculation (PBE) on an optimized crystal structure of SrLi3Re.

Lattice parameters (Å, degrees): 4.999 4.999 4.999 90.00 90.00 90.00
Fractional positions:
Re: 0.000 0.000 0.000
Li: 0.000 0.500 0.000
Li: 0.000 0.000 0.500
Li: 0.500 0.000 0.000
Sr: 0.500 0.500 0.500

Results
E above lowest polymorph = 0 meV per atom
energy = -0.1112 hartree per atom
energy of formation from the pure elements = 457 kJ/mol of formula units

---

8.
VASP calculation (PBE) on an optimized crystal structure of NpGaO2.

Lattice parameters (Å, degrees): 3.024 3.024 7.026 77.57 77.57 60.00
Fractional positions:
Np: 0.000 0.000 0.000
O: 0.116 0.116 0.653
O: 0.884 0.884 0.347
Ga: 0.500 0.500 0.500

Results
energy = -0.2922 hartree per atom
ΔE_f (raw) = -571 kJ/mol of formula units

---

Q: Among the records above, which one has the lowest energy?
A: NpGaO2

---

Please write out number 2 again, unchanged.
VASP calculation (PBE) on an optimized crystal structure of Tm6TeP3Se2.

Lattice parameters (Å, degrees): 3.999 8.150 9.081 104.48 102.72 90.00
Fractional positions:
Tm: 0.323 0.928 0.647
Tm: 0.662 0.595 0.323
Tm: 0.677 0.072 0.353
Tm: 0.995 0.275 0.990
Tm: 0.005 0.725 0.010
Tm: 0.338 0.405 0.677
Te: 0.500 0.000 0.000
P: 0.500 0.500 0.000
P: 0.835 0.169 0.669
P: 0.165 0.831 0.331
Se: 0.833 0.667 0.665
Se: 0.167 0.333 0.335

Results
energy = -0.2234 hartree per atom
ΔE_f (raw) = -1909 kJ/mol of formula units

---

Q: What is the energy in the fifth record?
A: -0.1973 hartree per atom